Entry 1:
The following is a PBE calculation of crystalline Pr2Dy2CI2Br3 at its relaxed geometry, from OQMD via LeMat-Bulk.

extended XYZ file:
```
10
Lattice="-9.089 -2.352 -1.987 -7.236 -5.738 -2.608 0.399 -1.293 8.241" Properties=species:S:1:pos:R:3 pbc="T T T"
C -8.162 -4.045 -2.297
Br -13.576 -7.701 1.480
Dy 0.307 -1.044 6.607
Pr -5.526 -4.118 5.968
I -2.431 -2.390 5.778
Dy -16.233 -8.340 -2.961
I -13.495 -6.993 -2.132
Pr -10.400 -5.265 -2.322
Br -2.349 -1.683 2.166
Br -7.963 -4.692 1.823
```

Output
E above lowest polymorph = 0.010 eV per atom

***

Entry 2:
The following is a PBE calculation of crystalline Sm2Hg at its relaxed geometry, from OQMD via LeMat-Bulk.

extended XYZ file:
```
6
Lattice="-1.528 3.523 4.996 0.617 6.266 -0.256 -5.123 3.666 -0.178" Properties=species:S:1:pos:R:3 pbc="T T T"
Sm -3.007 6.648 0.354
Sm -3.771 8.410 2.852
Sm -4.080 5.276 2.980
Sm -1.210 6.577 2.941
Hg 0.000 0.000 0.000
Hg -1.509 3.364 1.141
```

Output
total DFT energy (no corrections) = -3.001 eV per atom

***

Entry 3:
The following is a PBE calculation of crystalline Co2Re at its relaxed geometry, from OQMD via LeMat-Bulk.

extended XYZ file:
```
30
Lattice="8.884 0.000 0.000 0.000 8.884 0.000 0.000 0.000 4.562" Properties=species:S:1:pos:R:3 pbc="T T T"
Re 4.442 4.442 2.281
Re 0.347 5.653 2.281
Co 1.623 1.623 1.149
Co 0.859 8.025 2.281
Re 5.653 0.347 2.281
Re 4.789 7.673 0.000
Co 5.028 6.727 2.281
Co 7.261 7.261 3.413
Co 3.856 2.157 2.281
Co 6.599 0.586 0.000
Co 2.819 6.065 1.132
Re 8.537 3.231 2.281
Co 2.285 8.298 0.000
Co 8.298 2.285 0.000
Co 7.261 7.261 1.149
Co 6.065 2.819 3.430
Re 3.231 8.537 2.281
Re 1.211 4.095 0.000
Co 5.300 5.300 0.000
Co 2.157 3.856 2.281
Co 8.025 0.859 2.281
Co 0.586 6.599 0.000
Re 0.000 0.000 0.000
Re 7.673 4.789 0.000
Co 1.623 1.623 3.413
Co 6.727 5.028 2.281
Re 4.095 1.211 0.000
Co 6.065 2.819 1.132
Co 3.583 3.583 0.000
Co 2.819 6.065 3.430
```

Output
E above lowest polymorph = 0.068 eV per atom

***

Entry 4:
The following is a PBE calculation of crystalline Ho3Mg3AlGaAg at its relaxed geometry, from OQMD via LeMat-Bulk.

extended XYZ file:
```
9
Lattice="7.396 0.000 0.000 -3.698 6.405 0.000 0.000 0.000 4.359" Properties=species:S:1:pos:R:3 pbc="T T T"
Mg -2.788 4.839 0.000
Al 3.698 2.135 0.000
Mg 1.887 6.400 0.000
Ga 0.000 4.270 0.000
Ho -0.586 6.369 2.180
Ho -1.525 2.713 2.180
Ho 2.111 3.727 2.180
Mg 0.901 1.571 0.000
Ag 0.000 0.000 2.180
```

Output
total DFT energy (no corrections) = -3.496 eV per atom

***

Entry 5:
The following is a PBE calculation of crystalline Pr5Ga3 at its relaxed geometry, from OQMD via LeMat-Bulk.

extended XYZ file:
```
16
Lattice="5.620 -6.251 -3.673 -3.133 3.113 8.040 -7.796 -4.116 -2.536" Properties=species:S:1:pos:R:3 pbc="T T T"
Pr -0.466 -5.967 -2.012
Ga 1.865 -2.353 3.275
Ga -3.184 -7.002 -3.217
Pr 3.435 -5.571 -1.940
Pr -3.991 -4.569 -1.010
Pr -4.842 -1.286 3.844
Ga 0.622 -0.784 1.092
Ga -4.064 -1.999 0.878
Pr -8.744 -1.682 3.771
Pr 1.717 -3.733 0.359
Ga -2.124 -0.251 5.048
Pr -1.419 -2.338 -0.872
Pr -7.026 -3.520 1.473
Pr -1.318 -2.684 2.841
Pr -3.890 -4.915 2.703
Ga -1.245 -5.254 0.953
```

Output
E above lowest polymorph = 0.020 eV per atom

***

Entry 6:
The following is a PBE calculation of crystalline RbLuTe3Au at its relaxed geometry, from OQMD via LeMat-Bulk.

extended XYZ file:
```
12
Lattice="2.101 -8.480 0.000 2.101 8.480 0.000 0.000 0.000 11.207" Properties=species:S:1:pos:R:3 pbc="T T T"
Te 2.101 2.130 10.710
Te 2.101 -7.250 2.802
Rb 2.101 4.375 2.802
Au 2.101 -0.630 2.802
Te 2.101 7.250 8.405
Te 2.101 -2.130 0.496
Te 2.101 2.130 6.100
Au 2.101 0.630 8.405
Lu 0.000 0.000 0.000
Lu 0.000 0.000 5.603
Te 2.101 -2.130 5.107
Rb 2.101 -4.375 8.405
```

Output
total DFT energy (no corrections) = -3.918 eV per atom